! InMoI2N | the Alexandria database | PBE | optimized geometry; values from VASP
! - Relative energy among the computed polymorphs: 0.00 kJ per mole of atoms
! - SG: P4/mmm
! - Size of the total moment: 1.43 Bohr magnetons per cell
! - Crystal system: tetragonal
! - Formation energy (no corrections): 0.12 eV/atom
! - DOS(E_F): 0.415 states/eV/atom
&SYSTEM
  ibrav = 0, nat = 5, ntyp = 4
/
ATOMIC_SPECIES
I 126.90 I.upf
In 114.82 In.upf
Mo 95.94 Mo.upf
N 14.01 N.upf
CELL_PARAMETERS angstrom
-0.867 5.315 2.304
-5.274 0.239 -2.537
-1.590 -1.626 3.153
ATOMIC_POSITIONS crystal
I 0.000 0.500 0.000
I 0.500 0.000 0.000
In 0.500 0.500 0.500
Mo 0.000 0.000 0.000
N 0.000 0.000 0.500



! SrIrCl | the Alexandria database | PBE | optimized geometry; values from VASP
! - Relative energy among the computed polymorphs: 17.76 kJ per mole of atoms
! - SG: P1
! - Size of the total moment: 0.00 Bohr magnetons per cell
! - Crystal system: triclinic
! - Formation energy (no corrections): -1.07 eV/atom
! - DOS(E_F): 0.307 states/eV/atom
&SYSTEM
  ibrav = 0, nat = 6, ntyp = 3
/
ATOMIC_SPECIES
Cl 35.45 Cl.upf
Ir 192.22 Ir.upf
Sr 87.62 Sr.upf
CELL_PARAMETERS angstrom
-3.099 -0.039 -1.883
-6.327 -1.350 10.426
0.318 3.563 -0.596
ATOMIC_POSITIONS crystal
Cl 0.703 0.426 0.155
Cl 0.204 0.718 0.935
Ir 0.705 0.095 0.819
Ir 0.205 0.050 0.274
Sr 0.704 0.845 0.561
Sr 0.204 0.300 0.529



! AcEr2RhN4 | the Alexandria database | PBE | optimized geometry; values from VASP
! - SG: Cmcm
! - Size of the total moment: 0.00 Bohr magnetons per cell
! - Crystal system: orthorhombic
! - Formation energy (no corrections): -0.97 eV/atom
! - DOS(E_F): 0.470 states/eV/atom
&SYSTEM
  ibrav = 0, nat = 16, ntyp = 4
/
ATOMIC_SPECIES
N 14.01 N.upf
Er 167.26 Er.upf
Rh 102.91 Rh.upf
Ac 227.00 Ac.upf
CELL_PARAMETERS angstrom
-2.959 -1.958 0.133
4.373 -3.192 2.927
-2.945 5.129 9.994
ATOMIC_POSITIONS crystal
N 0.429 0.858 0.750
N 0.266 0.533 0.119
N 0.000 0.000 0.500
N 0.571 0.142 0.250
N 0.734 0.467 0.619
N 0.000 0.000 0.000
N 0.266 0.533 0.381
N 0.734 0.467 0.881
Er 0.631 0.262 0.046
Er 0.369 0.738 0.954
Er 0.631 0.262 0.454
Er 0.369 0.738 0.546
Rh 0.150 0.300 0.250
Rh 0.850 0.700 0.750
Ac 0.113 0.226 0.750
Ac 0.887 0.774 0.250



! Ba4SnAu3 | the Alexandria database | PBE | optimized geometry; values from VASP
! - SG: Pmm2
! - Size of the total moment: 0.00 Bohr magnetons per cell
! - ΔH_f (0 K): -0.668 eV per atom
! - Crystal system: orthorhombic
! - DOS(E_F): 0.675 states/eV/atom
&SYSTEM
  ibrav = 0, nat = 8, ntyp = 3
/
ATOMIC_SPECIES
Ba 137.33 Ba.upf
Au 196.97 Au.upf
Sn 118.71 Sn.upf
CELL_PARAMETERS angstrom
4.765 0.000 0.000
0.000 4.939 0.000
0.000 0.000 12.278
ATOMIC_POSITIONS crystal
Ba 0.000 0.000 0.139
Ba 0.500 0.000 0.638
Ba 0.500 0.500 0.366
Ba 0.000 0.500 0.857
Au 0.000 0.000 0.429
Au 0.000 0.500 0.575
Au 0.500 0.000 0.925
Sn 0.500 0.500 0.071



! YNb | the Alexandria database | PBE | optimized geometry; values from VASP
! - Relative energy among the computed polymorphs: 67.29 kJ per mole of atoms
! - SG: I4/m
! - Size of the total moment: 0.00 Bohr magnetons per cell
! - ΔH_f (0 K): 0.818 eV per atom
! - Crystal system: tetragonal
! - DOS(E_F): 1.240 states/eV/atom
&SYSTEM
  ibrav = 0, nat = 16, ntyp = 2
/
ATOMIC_SPECIES
Nb 92.91 Nb.upf
Y 88.91 Y.upf
CELL_PARAMETERS angstrom
-8.249 -3.367 8.973
8.675 -7.655 5.102
1.040 2.421 1.864
ATOMIC_POSITIONS crystal
Nb 0.268 0.670 0.000
Nb 0.330 0.268 0.000
Nb 0.670 0.732 0.000
Nb 0.732 0.330 0.000
Nb 0.830 0.768 0.500
Nb 0.768 0.170 0.500
Nb 0.170 0.232 0.500
Nb 0.232 0.830 0.500
Y 0.830 0.551 0.000
Y 0.949 0.330 0.500
Y 0.449 0.830 0.000
Y 0.170 0.449 0.000
Y 0.551 0.170 0.000
Y 0.330 0.051 0.500
Y 0.051 0.670 0.500
Y 0.670 0.949 0.500



! Lu2SeI | the Alexandria database | PBE | optimized geometry; values from VASP
! - SG: R-3m
! - Size of the total moment: 0.48 Bohr magnetons per cell
! - Crystal system: trigonal
! - Formation energy (no corrections): -0.90 eV/atom
! - DOS(E_F): 0.788 states/eV/atom
&SYSTEM
  ibrav = 0, nat = 4, ntyp = 3
/
ATOMIC_SPECIES
I 126.90 I.upf
Lu 174.97 Lu.upf
Se 78.96 Se.upf
CELL_PARAMETERS angstrom
-3.701 -0.982 -0.589
-1.075 -1.561 -3.379
0.097 -9.204 2.000
ATOMIC_POSITIONS crystal
I 0.000 0.000 0.000
Lu 0.896 0.896 0.313
Lu 0.104 0.104 0.687
Se 0.500 0.500 0.500



! SrSiMo3 | the Alexandria database | PBE | optimized geometry; values from VASP
! - Relative energy among the computed polymorphs: 0.00 kJ per mole of atoms
! - SG: Pm-3m
! - Size of the total moment: 0.00 Bohr magnetons per cell
! - Crystal system: cubic
! - Formation energy (no corrections): 0.98 eV/atom
! - DOS(E_F): 1.681 states/eV/atom
&SYSTEM
  ibrav = 0, nat = 5, ntyp = 3
/
ATOMIC_SPECIES
Mo 95.94 Mo.upf
Si 28.09 Si.upf
Sr 87.62 Sr.upf
CELL_PARAMETERS angstrom
-1.027 -1.730 4.257
2.572 -3.832 -0.936
3.808 2.121 1.781
ATOMIC_POSITIONS crystal
Mo 0.000 0.000 0.500
Mo 0.000 0.500 0.000
Mo 0.500 0.000 0.000
Si 0.000 0.000 0.000
Sr 0.500 0.500 0.500



! Ba3Ta | the Alexandria database | PBE | optimized geometry; values from VASP
! - Relative energy among the computed polymorphs: 51.92 kJ per mole of atoms
! - SG: Cmmm
! - Size of the total moment: 1.96 Bohr magnetons per cell
! - ΔH_f (0 K): 1.061 eV per atom
! - Crystal system: orthorhombic
! - DOS(E_F): 1.663 states/eV/atom
&SYSTEM
  ibrav = 0, nat = 4, ntyp = 2
/
ATOMIC_SPECIES
Ta 180.95 Ta.upf
Ba 137.33 Ba.upf
CELL_PARAMETERS angstrom
6.802 -0.004 0.000
-2.456 6.343 0.000
0.000 0.000 3.763
ATOMIC_POSITIONS crystal
Ta 0.000 0.000 0.000
Ba 0.500 0.000 0.500
Ba 0.500 0.500 0.000
Ba 0.000 0.500 0.500



! HgPdBr | the Alexandria database | PBE | optimized geometry; values from VASP
! - Relative energy among the computed polymorphs: 0.04 kJ per mole of atoms
! - SG: C2
! - Size of the total moment: 0.00 Bohr magnetons per cell
! - Crystal system: monoclinic
! - Formation energy (no corrections): -0.17 eV/atom
! - DOS(E_F): 0.348 states/eV/atom
&SYSTEM
  ibrav = 0, nat = 12, ntyp = 3
/
ATOMIC_SPECIES
Hg 200.59 Hg.upf
Pd 106.42 Pd.upf
Br 79.90 Br.upf
CELL_PARAMETERS angstrom
-3.036 3.495 1.451
-3.331 -3.351 1.100
5.335 -1.558 11.402
ATOMIC_POSITIONS crystal
Hg 0.000 0.550 0.000
Hg 0.500 0.980 0.000
Hg 0.500 0.480 0.500
Hg 0.000 0.050 0.500
Pd 0.033 0.052 0.111
Pd 0.033 0.552 0.611
Pd 0.967 0.552 0.389
Pd 0.967 0.052 0.889
Br 0.727 0.869 0.714
Br 0.273 0.369 0.786
Br 0.273 0.869 0.286
Br 0.727 0.369 0.214



! Lu2AlAg | the Alexandria database | PBE | optimized geometry; values from VASP
! - SG: R-3m
! - Size of the total moment: 0.00 Bohr magnetons per cell
! - ΔH_f (0 K): 0.120 eV per atom
! - Crystal system: trigonal
! - DOS(E_F): 0.770 states/eV/atom
&SYSTEM
  ibrav = 0, nat = 4, ntyp = 3
/
ATOMIC_SPECIES
Ag 107.87 Ag.upf
Lu 174.97 Lu.upf
Al 26.98 Al.upf
CELL_PARAMETERS angstrom
3.301 0.000 0.000
1.650 2.859 0.000
1.650 0.953 10.447
ATOMIC_POSITIONS crystal
Ag 0.000 0.000 0.000
Lu 0.093 0.093 0.722
Lu 0.907 0.907 0.278
Al 0.500 0.500 0.500



! CaGeP2Se8 | the Alexandria database | PBE | optimized geometry; values from VASP
! - SG: P-3
! - Size of the total moment: 0.00 Bohr magnetons per cell
! - Crystal system: trigonal
! - Formation energy (no corrections): -0.29 eV/atom
! - DOS(E_F): 0.238 states/eV/atom
&SYSTEM
  ibrav = 0, nat = 12, ntyp = 4
/
ATOMIC_SPECIES
Se 78.96 Se.upf
P 30.97 P.upf
Ca 40.08 Ca.upf
Ge 72.64 Ge.upf
CELL_PARAMETERS angstrom
-1.477 5.953 1.861
1.009 -4.569 4.381
8.696 2.098 0.186
ATOMIC_POSITIONS crystal
Se 0.291 0.990 0.702
Se 0.709 0.010 0.298
Se 0.667 0.333 0.000
Se 0.990 0.699 0.298
Se 0.010 0.301 0.702
Se 0.333 0.667 0.000
Se 0.301 0.291 0.298
Se 0.699 0.709 0.702
P 0.333 0.667 0.757
P 0.667 0.333 0.243
Ca 0.000 0.000 0.000
Ge 0.000 0.000 0.500



! Pm6Pr2SmDy | the Alexandria database | PBE | optimized geometry; values from VASP
! - SG: C2/c
! - Size of the total moment: 0.00 Bohr magnetons per cell
! - ΔH_f (0 K): 0.114 eV per atom
! - Crystal system: monoclinic
! - DOS(E_F): 1.491 states/eV/atom
&SYSTEM
  ibrav = 0, nat = 20, ntyp = 4
/
ATOMIC_SPECIES
Pm 145.00 Pm.upf
Pr 140.91 Pr.upf
Dy 162.50 Dy.upf
Sm 150.36 Sm.upf
CELL_PARAMETERS angstrom
9.432 -2.136 -2.217
0.739 8.686 -2.053
0.739 -2.373 8.604
ATOMIC_POSITIONS crystal
Pm 0.689 0.018 0.574
Pm 0.189 0.574 0.018
Pm 0.056 0.122 0.746
Pm 0.380 0.503 0.294
Pm 0.556 0.746 0.122
Pm 0.444 0.254 0.878
Pm 0.120 0.706 0.497
Pm 0.944 0.878 0.254
Pm 0.811 0.426 0.982
Pm 0.620 0.497 0.706
Pm 0.311 0.982 0.426
Pm 0.880 0.294 0.503
Pr 0.542 0.194 0.295
Pr 0.958 0.705 0.806
Pr 0.458 0.806 0.705
Pr 0.042 0.295 0.194
Dy 0.750 0.593 0.407
Dy 0.250 0.407 0.593
Sm 0.750 0.018 0.982
Sm 0.250 0.982 0.018



! Hf4CoSn | the Alexandria database | PBE | optimized geometry; values from VASP
! - SG: C2/c
! - Size of the total moment: 0.00 Bohr magnetons per cell
! - ΔH_f (0 K): -0.256 eV per atom
! - Crystal system: monoclinic
! - DOS(E_F): 1.020 states/eV/atom
&SYSTEM
  ibrav = 0, nat = 12, ntyp = 3
/
ATOMIC_SPECIES
Hf 178.49 Hf.upf
Co 58.93 Co.upf
Sn 118.71 Sn.upf
CELL_PARAMETERS angstrom
-0.911 -5.247 -0.544
6.724 1.007 4.161
-6.125 2.140 3.389
ATOMIC_POSITIONS crystal
Hf 0.291 0.641 0.838
Hf 0.632 0.067 0.353
Hf 0.221 0.286 0.353
Hf 0.709 0.359 0.162
Hf 0.954 0.804 0.162
Hf 0.368 0.933 0.647
Hf 0.046 0.196 0.838
Hf 0.779 0.714 0.647
Co 0.248 0.998 0.997
Co 0.752 0.002 0.003
Sn 0.370 0.620 0.240
Sn 0.630 0.380 0.760



! HfGa2Hg | the Alexandria database | PBE | optimized geometry; values from VASP
! - SG: I-42d
! - Size of the total moment: 0.00 Bohr magnetons per cell
! - ΔH_f (0 K): 0.072 eV per atom
! - Crystal system: tetragonal
! - DOS(E_F): 0.348 states/eV/atom
&SYSTEM
  ibrav = 0, nat = 8, ntyp = 3
/
ATOMIC_SPECIES
Ga 69.72 Ga.upf
Hf 178.49 Hf.upf
Hg 200.59 Hg.upf
CELL_PARAMETERS angstrom
7.450 0.000 0.000
0.000 7.450 0.000
3.725 3.725 2.963
ATOMIC_POSITIONS crystal
Ga 0.638 0.125 0.250
Ga 0.112 0.625 0.250
Ga 0.875 0.888 0.750
Ga 0.375 0.362 0.750
Hf 0.500 0.500 0.000
Hf 0.250 0.750 0.500
Hg 0.750 0.250 0.500
Hg 0.000 0.000 0.000



! CuMo2Pb | the Alexandria database | PBE | optimized geometry; values from VASP
! - SG: I-42d
! - Size of the total moment: 0.00 Bohr magnetons per cell
! - ΔH_f (0 K): 0.768 eV per atom
! - Crystal system: tetragonal
! - DOS(E_F): 0.669 states/eV/atom
&SYSTEM
  ibrav = 0, nat = 8, ntyp = 3
/
ATOMIC_SPECIES
Pb 207.20 Pb.upf
Mo 95.94 Mo.upf
Cu 63.55 Cu.upf
CELL_PARAMETERS angstrom
3.825 0.000 0.000
0.000 3.825 0.000
1.912 1.912 10.069
ATOMIC_POSITIONS crystal
Pb 0.750 0.250 0.500
Pb 0.000 0.000 0.000
Mo 0.875 0.841 0.750
Mo 0.159 0.625 0.250
Mo 0.375 0.409 0.750
Mo 0.591 0.125 0.250
Cu 0.500 0.500 0.000
Cu 0.250 0.750 0.500



! CaZn6Rh2 | the Alexandria database | PBE | optimized geometry; values from VASP
! - SG: Immm
! - Size of the total moment: 0.00 Bohr magnetons per cell
! - ΔH_f (0 K): -0.204 eV per atom
! - Crystal system: orthorhombic
! - DOS(E_F): 0.527 states/eV/atom
&SYSTEM
  ibrav = 0, nat = 9, ntyp = 3
/
ATOMIC_SPECIES
Zn 65.41 Zn.upf
Ca 40.08 Ca.upf
Rh 102.91 Rh.upf
CELL_PARAMETERS angstrom
4.294 0.000 0.000
2.147 6.548 1.550
2.147 2.811 6.113
ATOMIC_POSITIONS crystal
Zn 0.700 0.546 0.054
Zn 0.500 0.696 0.304
Zn 0.500 0.304 0.696
Zn 0.300 0.454 0.946
Zn 0.300 0.946 0.454
Zn 0.700 0.054 0.546
Ca 0.000 0.000 0.000
Rh 0.882 0.618 0.618
Rh 0.118 0.382 0.382



! YTm2Th2 | the Alexandria database | PBE | optimized geometry; values from VASP
! - Relative energy among the computed polymorphs: 0.00 kJ per mole of atoms
! - SG: P2_1/c
! - Size of the total moment: 0.00 Bohr magnetons per cell
! - ΔH_f (0 K): 0.030 eV per atom
! - Crystal system: monoclinic
! - DOS(E_F): 1.316 states/eV/atom
&SYSTEM
  ibrav = 0, nat = 20, ntyp = 3
/
ATOMIC_SPECIES
Tm 168.93 Tm.upf
Th 232.04 Th.upf
Y 88.91 Y.upf
CELL_PARAMETERS angstrom
5.880 0.000 -1.860
0.000 7.086 0.000
2.343 0.000 14.337
ATOMIC_POSITIONS crystal
Tm 0.351 0.624 0.303
Tm 0.149 0.124 0.697
Tm 0.451 0.875 0.098
Tm 0.649 0.376 0.697
Tm 0.049 0.375 0.902
Tm 0.549 0.125 0.902
Tm 0.851 0.876 0.303
Tm 0.951 0.625 0.098
Th 0.250 0.376 0.501
Th 0.750 0.624 0.499
Th 0.052 0.872 0.903
Th 0.250 0.876 0.499
Th 0.448 0.372 0.097
Th 0.750 0.124 0.501
Th 0.552 0.628 0.903
Th 0.948 0.128 0.097
Y 0.350 0.126 0.302
Y 0.650 0.874 0.698
Y 0.150 0.626 0.698
Y 0.850 0.374 0.302



! Np2PaN3 | the Alexandria database | PBE | optimized geometry; values from VASP
! - SG: C2/m
! - Size of the total moment: 14.82 Bohr magnetons per cell
! - Crystal system: monoclinic
! - Formation energy (no corrections): -0.91 eV/atom
! - DOS(E_F): 1.869 states/eV/atom
&SYSTEM
  ibrav = 0, nat = 12, ntyp = 3
/
ATOMIC_SPECIES
N 14.01 N.upf
Np 237.00 Np.upf
Pa 231.04 Pa.upf
CELL_PARAMETERS angstrom
3.471 0.000 0.000
-1.735 6.261 -1.738
0.000 -0.184 8.373
ATOMIC_POSITIONS crystal
N 0.028 0.056 0.805
N 0.638 0.275 0.522
N 0.693 0.386 0.134
N 0.307 0.614 0.866
N 0.362 0.725 0.478
N 0.972 0.944 0.195
Np 0.829 0.659 0.667
Np 0.331 0.662 0.166
Np 0.669 0.338 0.834
Np 0.171 0.341 0.333
Pa 0.500 0.000 0.000
Pa 0.000 0.000 0.500



! W2SeCl | the Alexandria database | PBE | optimized geometry; values from VASP
! - Relative energy among the computed polymorphs: 101.18 kJ per mole of atoms
! - SG: I-4m2
! - Size of the total moment: 0.00 Bohr magnetons per cell
! - Crystal system: tetragonal
! - Formation energy (no corrections): 1.02 eV/atom
! - DOS(E_F): 0.785 states/eV/atom
&SYSTEM
  ibrav = 0, nat = 4, ntyp = 3
/
ATOMIC_SPECIES
Cl 35.45 Cl.upf
Se 78.96 Se.upf
W 183.84 W.upf
CELL_PARAMETERS angstrom
-3.406 3.055 1.673
-3.660 -2.791 1.594
4.758 -0.221 1.023
ATOMIC_POSITIONS crystal
Cl 0.500 0.500 0.000
Se 0.750 0.250 0.500
W 0.000 0.000 0.000
W 0.250 0.750 0.500



! YZrSe3 | the Alexandria database | PBE | optimized geometry; values from VASP
! - Relative energy among the computed polymorphs: 0.00 kJ per mole of atoms
! - SG: P2_1/m
! - Size of the total moment: 0.38 Bohr magnetons per cell
! - Crystal system: monoclinic
! - Formation energy (no corrections): -1.54 eV/atom
! - DOS(E_F): 0.667 states/eV/atom
&SYSTEM
  ibrav = 0, nat = 10, ntyp = 3
/
ATOMIC_SPECIES
Se 78.96 Se.upf
Zr 91.22 Zr.upf
Y 88.91 Y.upf
CELL_PARAMETERS angstrom
-3.101 -1.583 -1.749
2.843 -7.158 1.436
-4.286 0.858 6.823
ATOMIC_POSITIONS crystal
Se 0.750 0.625 0.402
Se 0.750 0.301 0.962
Se 0.750 0.100 0.309
Se 0.250 0.375 0.598
Se 0.250 0.699 0.038
Se 0.250 0.900 0.691
Zr 0.750 0.137 0.652
Zr 0.250 0.863 0.348
Y 0.250 0.388 0.220
Y 0.750 0.612 0.780